The following is a PBE calculation of a relaxed structure of TbAl4Ir, from the Alexandria database.

```
data_TbAl4Ir
_chemical_formula_sum 'Tb4 Al16 Ir4'
_cell_length_a 6.4664
_cell_length_b 6.4664
_cell_length_c 11.6230
_cell_angle_alpha 90.00
_cell_angle_beta 90.00
_cell_angle_gamma 90.00
_space_group_name_H-M_alt 'I 4/m c m'
_space_group_IT_number 140
_space_group_name_Hall '-I 4 2c'
loop_
_atom_site_label
_atom_site_fract_x
_atom_site_fract_y
_atom_site_fract_z
Tb1 0.0000 0.0000 0.0000
Al1 0.1488 0.3512 0.1658
Ir1 0.0000 0.0000 0.2500
```

electronic total energy: -123.63 eV per cell
ΔH_f (0 K): -0.408 eV/atom

The following is a PBE calculation of a relaxed structure of BaCa2As, from the Alexandria database.

```
data_BaCa2As
_chemical_formula_sum 'Ba2 Ca4 As2'
_cell_length_a 12.4151
_cell_length_b 4.0731
_cell_length_c 7.2068
_cell_angle_alpha 90.00
_cell_angle_beta 117.43
_cell_angle_gamma 90.00
_space_group_name_H-M_alt 'C 1 m 1'
_space_group_IT_number 8
loop_
_space_group_symop_operation_xyz
'x,y,z'
'x,-y,z'
'x+1/2,y+1/2,z'
'x+1/2,-y+1/2,z'
loop_
_atom_site_label
_atom_site_fract_x
_atom_site_fract_y
_atom_site_fract_z
Ba1 0.0000 0.0000 0.0000
Ca1 0.1527 0.5000 0.6590
Ca2 0.3287 0.5000 0.3121
As1 0.2725 0.0000 0.9866
```

electronic total energy: -25.91 eV per cell
ΔH_f (0 K): -0.595 eV/atom

The following is a PBE calculation of a relaxed structure of Tb2PmHg2, from the Alexandria database.

```
data_Tb2PmHg2
_chemical_formula_sum 'Tb2 Pm1 Hg2'
_cell_length_a 5.2284
_cell_length_b 5.2284
_cell_length_c 6.3740
_cell_angle_alpha 90.00
_cell_angle_beta 90.00
_cell_angle_gamma 120.00
_space_group_name_H-M_alt 'P -3 m 1'
_space_group_IT_number 164
_space_group_name_Hall '-P 3 2"'
loop_
_atom_site_label
_atom_site_fract_x
_atom_site_fract_y
_atom_site_fract_z
Tb1 0.3333 0.6667 0.1576
Pm1 0.0000 0.0000 0.5000
Hg1 0.3333 0.6667 0.6742
```

offset from the most stable computed form: 148 meV/atom
electronic total energy: -15.79 eV per cell
ΔH_f (0 K): -0.236 eV/atom

The following is a PBE calculation of a relaxed structure of PrSm4In, from the Alexandria database.

```
data_PrSm4In
_chemical_formula_sum 'Pr1 Sm4 In1'
_cell_length_a 3.6587
_cell_length_b 3.6587
_cell_length_c 14.5794
_cell_angle_alpha 90.00
_cell_angle_beta 90.00
_cell_angle_gamma 90.00
_space_group_name_H-M_alt 'P 4/m m m'
_space_group_IT_number 123
_space_group_name_Hall '-P 4 2'
loop_
_atom_site_label
_atom_site_fract_x
_atom_site_fract_y
_atom_site_fract_z
Pr1 0.0000 0.0000 0.0000
Sm1 0.0000 0.0000 0.3557
Sm2 0.5000 0.5000 0.1796
In1 0.5000 0.5000 0.5000
```

offset from the most stable computed form: 0 meV/atom
electronic total energy: -27.25 eV per cell
ΔH_f (0 K): -0.142 eV/atom